# 1
! AcAsO4F | Alexandria via LeMat-Bulk | GGA-PBE | optimized geometry; values from VASP
&SYSTEM
  ibrav = 0, nat = 14, ntyp = 4
/
ATOMIC_SPECIES
Ac 227.00 Ac.upf
As 74.92 As.upf
O 16.00 O.upf
F 19.00 F.upf
ATOMIC_POSITIONS crystal
Ac 0.205 0.205 0.123
Ac 0.795 0.795 0.877
As 0.356 0.356 0.738
As 0.644 0.644 0.262
O 0.133 0.477 0.851
O 0.286 0.286 0.493
O 0.470 0.470 0.222
O 0.477 0.133 0.851
O 0.523 0.867 0.149
O 0.530 0.530 0.778
O 0.714 0.714 0.507
O 0.867 0.523 0.149
F 0.018 0.018 0.823
F 0.982 0.982 0.177
CELL_PARAMETERS angstrom
5.110 -3.904 0.000
5.110 3.904 0.000
-2.006 0.000 6.878
! Fermi-level density of states (states/eV/f.u.): 4.3
! ΔE_f (raw) (eV per atom): -2.151
! Symmetry: C2/m

=====

# 2
! AcAs2O6F | Alexandria via LeMat-Bulk | GGA-PBE | optimized geometry; values from VASP
&SYSTEM
  ibrav = 0, nat = 20, ntyp = 4
/
ATOMIC_SPECIES
Ac 227.00 Ac.upf
As 74.92 As.upf
O 16.00 O.upf
F 19.00 F.upf
ATOMIC_POSITIONS crystal
Ac 0.157 0.843 0.750
Ac 0.843 0.157 0.250
As 0.225 0.407 0.279
As 0.407 0.225 0.779
As 0.593 0.775 0.221
As 0.775 0.593 0.721
O 0.064 0.313 0.242
O 0.219 0.599 0.414
O 0.292 0.395 0.941
O 0.313 0.064 0.742
O 0.395 0.292 0.441
O 0.401 0.781 0.086
O 0.599 0.219 0.914
O 0.605 0.708 0.559
O 0.687 0.936 0.258
O 0.708 0.605 0.059
O 0.781 0.401 0.586
O 0.936 0.687 0.758
F 0.069 0.931 0.250
F 0.931 0.069 0.750
CELL_PARAMETERS angstrom
6.505 -5.674 0.000
6.505 5.674 0.000
-1.094 0.000 4.661
! Fermi-level density of states (states/eV/f.u.): 0.0
! ΔE_f (raw) (eV per atom): -2.011
! Symmetry: C2/c

=====

# 3
! AcAsPdF | Alexandria via LeMat-Bulk | GGA-PBE | optimized geometry; values from VASP
&SYSTEM
  ibrav = 0, nat = 8, ntyp = 4
/
ATOMIC_SPECIES
Ac 227.00 Ac.upf
As 74.92 As.upf
Pd 106.42 Pd.upf
F 19.00 F.upf
ATOMIC_POSITIONS crystal
Ac 0.250 0.250 0.189
Ac 0.750 0.750 0.811
As 0.250 0.250 0.668
As 0.750 0.750 0.332
Pd 0.250 0.750 0.500
Pd 0.750 0.250 0.500
F 0.250 0.750 0.000
F 0.750 0.250 0.000
CELL_PARAMETERS angstrom
4.270 0.000 0.000
0.000 4.270 0.000
0.000 0.000 8.747
! Fermi-level density of states (states/eV/f.u.): 4.1
! ΔE_f (raw) (eV per atom): -1.992
! Symmetry: P4/nmm

=====

# 4
! AcAsPtF | Alexandria via LeMat-Bulk | GGA-PBE | optimized geometry; values from VASP
&SYSTEM
  ibrav = 0, nat = 8, ntyp = 4
/
ATOMIC_SPECIES
Ac 227.00 Ac.upf
As 74.92 As.upf
Pt 195.08 Pt.upf
F 19.00 F.upf
ATOMIC_POSITIONS crystal
Ac 0.250 0.250 0.190
Ac 0.750 0.750 0.810
As 0.250 0.250 0.670
As 0.750 0.750 0.330
Pt 0.250 0.750 0.500
Pt 0.750 0.250 0.500
F 0.250 0.750 0.000
F 0.750 0.250 0.000
CELL_PARAMETERS angstrom
4.283 0.000 0.000
0.000 4.283 0.000
0.000 0.000 8.678
! Fermi-level density of states (states/eV/f.u.): 3.1
! ΔE_f (raw) (eV per atom): -1.952
! Symmetry: P4/nmm

=====

# 5
! AcTlAsF | Alexandria via LeMat-Bulk | GGA-PBE | optimized geometry; values from VASP
&SYSTEM
  ibrav = 0, nat = 16, ntyp = 4
/
ATOMIC_SPECIES
Ac 227.00 Ac.upf
Tl 204.38 Tl.upf
As 74.92 As.upf
F 19.00 F.upf
ATOMIC_POSITIONS crystal
Ac 0.000 0.000 0.000
Ac 0.000 0.500 0.500
Ac 0.500 0.000 0.500
Ac 0.500 0.500 0.000
Tl 0.000 0.000 0.500
Tl 0.000 0.500 0.000
Tl 0.500 0.000 0.000
Tl 0.500 0.500 0.500
As 0.250 0.250 0.750
As 0.250 0.750 0.250
As 0.750 0.250 0.250
As 0.750 0.750 0.750
F 0.250 0.250 0.250
F 0.250 0.750 0.750
F 0.750 0.250 0.750
F 0.750 0.750 0.250
CELL_PARAMETERS angstrom
7.378 0.000 0.000
0.000 7.378 0.000
0.000 0.000 7.378
! Fermi-level density of states (states/eV/f.u.): 0.1
! ΔE_f (raw) (eV per atom): -1.453
! Symmetry: F-43m

=====

# 6
! AcFeAs3 | Alexandria via LeMat-Bulk | GGA-PBE | optimized geometry; values from VASP
&SYSTEM
  ibrav = 0, nat = 5, ntyp = 3
/
ATOMIC_SPECIES
Ac 227.00 Ac.upf
Fe 55.84 Fe.upf
As 74.92 As.upf
ATOMIC_POSITIONS crystal
Ac 0.000 0.000 0.000
Fe 0.500 0.500 0.500
As 0.000 0.500 0.500
As 0.500 0.000 0.500
As 0.500 0.500 0.000
CELL_PARAMETERS angstrom
4.822 0.000 0.000
0.000 4.822 0.000
0.000 0.000 4.822
! Energy relative to the elements (eV per atom): -0.413
! Fermi-level density of states (states/eV/f.u.): 3.6
! Symmetry: Pm-3m

=====

# 7
! Ac3FeAs | Alexandria via LeMat-Bulk | GGA-PBE | optimized geometry; values from VASP
&SYSTEM
  ibrav = 0, nat = 5, ntyp = 3
/
ATOMIC_SPECIES
Ac 227.00 Ac.upf
Fe 55.84 Fe.upf
As 74.92 As.upf
ATOMIC_POSITIONS crystal
Ac 0.000 0.000 0.500
Ac 0.000 0.500 0.000
Ac 0.500 0.000 0.000
Fe 0.000 0.000 0.000
As 0.500 0.500 0.500
CELL_PARAMETERS angstrom
5.411 0.000 0.000
0.000 5.411 0.000
0.000 0.000 5.411
! Energy relative to the elements (eV per atom): -0.192
! Fermi-level density of states (states/eV/f.u.): 5.0
! Symmetry: Pm-3m

=====

# 8
! AcFe2As2 | Alexandria via LeMat-Bulk | GGA-PBE | optimized geometry; values from VASP
&SYSTEM
  ibrav = 0, nat = 10, ntyp = 3
/
ATOMIC_SPECIES
Ac 227.00 Ac.upf
Fe 55.84 Fe.upf
As 74.92 As.upf
ATOMIC_POSITIONS crystal
Ac 0.000 0.000 0.000
Ac 0.500 0.500 0.500
Fe 0.000 0.500 0.250
Fe 0.000 0.500 0.750
Fe 0.500 0.000 0.250
Fe 0.500 0.000 0.750
As 0.000 0.000 0.352
As 0.000 0.000 0.648
As 0.500 0.500 0.148
As 0.500 0.500 0.852
CELL_PARAMETERS angstrom
4.009 0.000 0.000
0.000 4.009 0.000
0.000 0.000 11.539
! Energy relative to the elements (eV per atom): -0.614
! Fermi-level density of states (states/eV/f.u.): 4.4
! Symmetry: I4/mmm

=====

# 9
! AcFe2AsN2 | Alexandria via LeMat-Bulk | GGA-PBE | optimized geometry; values from VASP
&SYSTEM
  ibrav = 0, nat = 12, ntyp = 4
/
ATOMIC_SPECIES
Ac 227.00 Ac.upf
Fe 55.84 Fe.upf
As 74.92 As.upf
N 14.01 N.upf
ATOMIC_POSITIONS crystal
Ac 0.183 0.250 0.355
Ac 0.817 0.750 0.645
Fe 0.358 0.000 0.803
Fe 0.358 0.500 0.803
Fe 0.642 0.000 0.197
Fe 0.642 0.500 0.197
As 0.289 0.750 0.064
As 0.711 0.250 0.936
N 0.133 0.250 0.701
N 0.383 0.750 0.627
N 0.617 0.250 0.373
N 0.867 0.750 0.299
CELL_PARAMETERS angstrom
6.049 0.000 0.000
0.000 4.825 0.000
-2.409 0.000 6.699
! Fermi-level density of states (states/eV/f.u.): 4.6
! ΔE_f (raw) (eV per atom): -0.597
! Symmetry: P2_1/m

=====

# 10
! Ac2FeNi3As4 | Alexandria via LeMat-Bulk | GGA-PBE | optimized geometry; values from VASP
&SYSTEM
  ibrav = 0, nat = 10, ntyp = 4
/
ATOMIC_SPECIES
Ac 227.00 Ac.upf
Fe 55.84 Fe.upf
Ni 58.69 Ni.upf
As 74.92 As.upf
ATOMIC_POSITIONS crystal
Ac 0.000 0.500 0.249
Ac 0.500 0.000 0.751
Fe 0.000 0.000 0.500
Ni 0.000 0.500 0.887
Ni 0.500 0.000 0.113
Ni 0.500 0.500 0.500
As 0.000 0.000 0.000
As 0.000 0.500 0.627
As 0.500 0.000 0.373
As 0.500 0.500 0.000
CELL_PARAMETERS angstrom
4.334 0.000 0.000
0.000 4.334 0.000
0.000 0.000 9.772
! Energy relative to the elements (eV per atom): -0.743
! Fermi-level density of states (states/eV/f.u.): 5.7
! Symmetry: P-4m2